Pa3MoSe2O6: relaxed, PBE with a Hubbard U.

a b c (Å): 6.0644 7.6709 7.3767
angles (deg): 121.33 73.30 90.00
Closest atoms and distances in Å follow each position.
Fractional coordinates of all 12 atoms:
O 0.2256 0.5958 0.8009  2 Pa 2.10-2.13
Se 0.7779 0.3249 0.6498  3 Pa 2.91-2.95, 1 O 3.18
Mo 0.5000 0.0000 0.0000  2 O 2.17
O 0.7744 0.4042 0.1991  2 Pa 2.10-2.13
O 0.2256 0.2051 0.8009  2 Pa 2.10-2.13
O 0.7744 0.7949 0.1991  2 Pa 2.10-2.13
Se 0.2221 0.6751 0.3502  3 Pa 2.91-2.95, 1 O 3.18
Pa 0.5000 0.0000 0.5000  4 O 2.10-2.20
Pa 0.5000 0.5000 0.5000  4 O 2.10-2.20
O 0.5600 0.8206 0.6412  1 Mo 2.17, 2 Pa 2.20
Pa 0.0000 0.5000 0.0000  4 O 2.13
O 0.4400 0.1794 0.3588  1 Mo 2.17, 2 Pa 2.20

Computed properties:
spin magnetization = 0.42 μB/atom
total DFT energy (no corrections) = -102.59 eV per cell